# 1
This record from Alexandria via LeMat-Bulk describes a relaxed Dy3Cd3Au2 crystal. The functional is PBE.

Properties
The calculation puts the formation energy at -0.5870 eV per atom.

Cell lengths 3.774, 7.724, 7.724 Å; angles 120.00, 90.00, 90.00 degrees
Fractional coordinates of all 8 atoms:
Dy1 0.500 0.582 0.000
Au1 0.000 0.667 0.333
Dy2 0.500 0.000 0.582
Cd1 0.000 0.225 0.000
Dy3 0.500 0.418 0.418
Cd2 0.000 0.000 0.225
Cd3 0.000 0.775 0.775
Au2 0.000 0.333 0.667

---

# 2
This record from Alexandria via LeMat-Bulk describes a relaxed Dy2ErCdAu4 crystal. The functional is PBE.

Properties
The calculation puts the formation energy at -0.7896 eV per atom.

Cell lengths 4.997, 4.997, 8.742 Å; angles 73.39, 73.39, 60.00 degrees
Fractional coordinates of all 8 atoms:
Au1 0.866 0.866 0.401
Au2 0.134 0.134 0.599
Au3 0.620 0.620 0.140
Dy1 0.257 0.257 0.230
Dy2 0.743 0.743 0.770
Cd1 0.000 0.000 0.000
Au4 0.380 0.380 0.860
Er1 0.500 0.500 0.500